[1]
This record from Alexandria via LeMat-Bulk describes CePrZr2 after structural relaxation. The functional is GGA-PBE.

CIF file:
```
data_CePrZr2
_space_group_name_H-M_alt 'P 4/m m m'
_space_group_IT_number 123
_space_group_name_Hall '-P 4 2'
_cell_length_a 4.658
_cell_length_b 4.658
_cell_length_c 4.997
_cell_angle_alpha 90.00
_cell_angle_beta 90.00
_cell_angle_gamma 90.00
loop_
_atom_site_label
_atom_site_fract_x
_atom_site_fract_y
_atom_site_fract_z
Ce1 0.000 0.000 0.000
Pr1 0.500 0.500 0.000
Zr1 0.000 0.500 0.500
```

Properties
The value obtained for the distance to the lowest polymorph of the same formula is 0.05 eV per formula unit. The magnetization comes out at 0.00 μB/cell. The calculation puts the energy of formation at 0.199 eV per atom.

[2]
This record from Alexandria via LeMat-Bulk describes CePrZr2 after structural relaxation. The functional is GGA-PBE.

CIF file:
```
data_CePrZr2
_space_group_name_H-M_alt 'R -3 m'
_space_group_IT_number 166
_space_group_name_Hall '-R 3 2"'
_cell_length_a 3.3068
_cell_length_b 3.3068
_cell_length_c 34.9550
_cell_angle_alpha 90.00
_cell_angle_beta 90.00
_cell_angle_gamma 120.00
loop_
_atom_site_label
_atom_site_fract_x
_atom_site_fract_y
_atom_site_fract_z
Ce1 0.0000 0.0000 0.0000
Pr1 0.0000 0.0000 0.5000
Zr1 0.0000 0.0000 0.4086
```

Properties
The value obtained for the distance to the lowest polymorph of the same formula is 0.46 eV per formula unit. The magnetization comes out at 0.01 μB/cell. The calculation puts the energy of formation at 0.303 eV per atom.

[3]
This record from Alexandria via LeMat-Bulk describes CePt5 after structural relaxation. The functional is GGA-PBE.

CIF file:
```
data_CePt5
_space_group_name_H-M_alt 'C 1 2/m 1'
_space_group_IT_number 12
_cell_length_a 5.049
_cell_length_b 8.867
_cell_length_c 4.989
_cell_angle_alpha 90.00
_cell_angle_beta 110.23
_cell_angle_gamma 90.00
loop_
_space_group_symop_operation_xyz
'x,y,z'
'-x,-y,-z'
'-x,y,-z'
'x,-y,z'
'x+1/2,y+1/2,z'
'-x+1/2,-y+1/2,-z'
'-x+1/2,y+1/2,-z'
'x+1/2,-y+1/2,z'
loop_
_atom_site_label
_atom_site_fract_x
_atom_site_fract_y
_atom_site_fract_z
Ce1 0.000 0.000 0.000
Pt1 0.000 0.175 0.500
Pt2 0.000 0.336 0.000
Pt3 0.000 0.500 0.500
```

Properties
The magnetization comes out at 0.00 μB/cell. The calculation puts the energy of formation at -0.599 eV per atom.

[4]
This record from Alexandria via LeMat-Bulk describes CePt after structural relaxation. The functional is GGA-PBE.

CIF file:
```
data_CePt
_space_group_name_H-M_alt 'P 1 21/m 1'
_space_group_IT_number 11
_cell_length_a 3.850
_cell_length_b 4.407
_cell_length_c 5.875
_cell_angle_alpha 90.00
_cell_angle_beta 109.16
_cell_angle_gamma 90.00
loop_
_space_group_symop_operation_xyz
'x,y,z'
'-x,-y,-z'
'-x,y+1/2,-z'
'x,-y+1/2,z'
loop_
_atom_site_label
_atom_site_fract_x
_atom_site_fract_y
_atom_site_fract_z
Ce1 0.136 0.250 0.273
Pt1 0.406 0.250 0.810
```

Properties
The magnetization comes out at 1.16 μB/cell. The calculation puts the energy of formation at -1.095 eV per atom.

[5]
This record from Alexandria via LeMat-Bulk describes Ce3Pt5 after structural relaxation. The functional is GGA-PBE.

CIF file:
```
data_Ce3Pt5
_space_group_name_H-M_alt 'P n m a'
_space_group_IT_number 62
_cell_length_a 12.345
_cell_length_b 9.578
_cell_length_c 5.706
_cell_angle_alpha 90.00
_cell_angle_beta 90.00
_cell_angle_gamma 90.00
loop_
_space_group_symop_operation_xyz
'x,y,z'
'-x,-y,-z'
'-x+1/2,-y,z+1/2'
'x+1/2,y,-z+1/2'
'x+1/2,-y+1/2,-z+1/2'
'-x+1/2,y+1/2,z+1/2'
'-x,y+1/2,-z'
'x,-y+1/2,z'
loop_
_atom_site_label
_atom_site_fract_x
_atom_site_fract_y
_atom_site_fract_z
Ce1 0.073 0.250 0.099
Ce2 0.149 0.015 0.611
Pt1 0.007 0.750 0.443
Pt2 0.093 0.551 0.114
Pt3 0.218 0.750 0.852
Pt4 0.226 0.750 0.343
```

Properties
The magnetization comes out at 5.29 μB/cell. The calculation puts the energy of formation at -1.066 eV per atom.

[6]
This record from Alexandria via LeMat-Bulk describes Ce2Pt3 after structural relaxation. The functional is GGA-PBE.

CIF file:
```
data_Ce2Pt3
_space_group_name_H-M_alt 'I -4 3 d'
_space_group_IT_number 220
_space_group_name_Hall 'I -4bd 2c 3'
_cell_length_a 9.800
_cell_length_b 9.800
_cell_length_c 9.800
_cell_angle_alpha 90.00
_cell_angle_beta 90.00
_cell_angle_gamma 90.00
loop_
_atom_site_label
_atom_site_fract_x
_atom_site_fract_y
_atom_site_fract_z
Ce1 0.037 0.463 0.537
Pt1 0.000 0.250 0.012
```

Properties
The value obtained for the distance to the lowest polymorph of the same formula is 0.90 eV per formula unit. The magnetization comes out at 6.29 μB/cell. The calculation puts the energy of formation at -0.893 eV per atom.

[7]
This record from Alexandria via LeMat-Bulk describes Ce4Pt3 after structural relaxation. The functional is GGA-PBE.

CIF file:
```
data_Ce4Pt3
_space_group_name_H-M_alt 'R -3 c'
_space_group_IT_number 167
_space_group_name_Hall '-R 3 2"c'
_cell_length_a 12.8893
_cell_length_b 12.8893
_cell_length_c 7.3839
_cell_angle_alpha 90.00
_cell_angle_beta 90.00
_cell_angle_gamma 120.00
loop_
_atom_site_label
_atom_site_fract_x
_atom_site_fract_y
_atom_site_fract_z
Ce1 0.0000 0.0000 0.0000
Ce2 0.0000 0.4410 0.2500
Pt1 0.0000 0.1842 0.2500
```

Properties
The magnetization comes out at 20.04 μB/cell. The calculation puts the energy of formation at -0.913 eV per atom.

[8]
This record from Alexandria via LeMat-Bulk describes Ce2Pt3 after structural relaxation. The functional is GGA-PBE.

CIF file:
```
data_Ce2Pt3
_space_group_name_H-M_alt 'I m m m'
_space_group_IT_number 71
_space_group_name_Hall '-I 2 2'
_cell_length_a 4.093
_cell_length_b 6.774
_cell_length_c 7.851
_cell_angle_alpha 90.00
_cell_angle_beta 90.00
_cell_angle_gamma 90.00
loop_
_atom_site_label
_atom_site_fract_x
_atom_site_fract_y
_atom_site_fract_z
Ce1 0.000 0.000 0.226
Pt1 0.000 0.298 0.500
Pt2 0.000 0.500 0.000
```

Properties
The value obtained for the distance to the lowest polymorph of the same formula is 0.00 eV per formula unit. The magnetization comes out at 1.76 μB/cell. The calculation puts the energy of formation at -1.074 eV per atom.

[9]
This record from Alexandria via LeMat-Bulk describes Ce3Pt after structural relaxation. The functional is GGA-PBE.

CIF file:
```
data_Ce3Pt
_space_group_name_H-M_alt 'I m m 2'
_space_group_IT_number 44
_cell_length_a 3.510
_cell_length_b 10.324
_cell_length_c 5.561
_cell_angle_alpha 90.00
_cell_angle_beta 90.00
_cell_angle_gamma 90.00
loop_
_space_group_symop_operation_xyz
'x,y,z'
'-x,-y,z'
'-x,y,z'
'x,-y,z'
'x+1/2,y+1/2,z+1/2'
'-x+1/2,-y+1/2,z+1/2'
'-x+1/2,y+1/2,z+1/2'
'x+1/2,-y+1/2,z+1/2'
loop_
_atom_site_label
_atom_site_fract_x
_atom_site_fract_y
_atom_site_fract_z
Ce1 0.000 0.000 0.000
Ce2 0.000 0.202 0.379
Pt1 0.000 0.500 0.079
```

Properties
The magnetization comes out at 1.72 μB/cell. The calculation puts the energy of formation at -0.471 eV per atom.

[10]
This record from Alexandria via LeMat-Bulk describes CePt4 after structural relaxation. The functional is GGA-PBE.

CIF file:
```
data_CePt4
_space_group_name_H-M_alt 'P m -3 m'
_space_group_IT_number 221
_space_group_name_Hall '-P 4 2 3'
_cell_length_a 4.996
_cell_length_b 4.996
_cell_length_c 4.996
_cell_angle_alpha 90.00
_cell_angle_beta 90.00
_cell_angle_gamma 90.00
loop_
_atom_site_label
_atom_site_fract_x
_atom_site_fract_y
_atom_site_fract_z
Ce1 0.000 0.000 0.000
Pt1 0.000 0.000 0.500
Pt2 0.500 0.500 0.500
```

Properties
The magnetization comes out at 0.00 μB/cell. The calculation puts the energy of formation at 1.016 eV per atom.

[11]
This record from Alexandria via LeMat-Bulk describes CePt5 after structural relaxation. The functional is GGA-PBE.

CIF file:
```
data_CePt5
_space_group_name_H-M_alt 'P 6/m m m'
_space_group_IT_number 191
_space_group_name_Hall '-P 6 2'
_cell_length_a 5.3989
_cell_length_b 5.3989
_cell_length_c 4.4470
_cell_angle_alpha 90.00
_cell_angle_beta 90.00
_cell_angle_gamma 120.00
loop_
_atom_site_label
_atom_site_fract_x
_atom_site_fract_y
_atom_site_fract_z
Ce1 0.0000 0.0000 0.0000
Pt1 0.0000 0.5000 0.5000
Pt2 0.3333 0.6667 0.0000
```

Properties
The magnetization comes out at 0.49 μB/cell. The calculation puts the energy of formation at -0.719 eV per atom.

[12]
This record from Alexandria via LeMat-Bulk describes Ce3Pt after structural relaxation. The functional is GGA-PBE.

CIF file:
```
data_Ce3Pt
_space_group_name_H-M_alt 'P 1 2/c 1'
_space_group_IT_number 13
_cell_length_a 11.792
_cell_length_b 5.923
_cell_length_c 16.543
_cell_angle_alpha 90.00
_cell_angle_beta 134.44
_cell_angle_gamma 90.00
loop_
_space_group_symop_operation_xyz
'x,y,z'
'-x,-y,-z'
'-x,y,-z+1/2'
'x,-y,z+1/2'
loop_
_atom_site_label
_atom_site_fract_x
_atom_site_fract_y
_atom_site_fract_z
Ce1 0.000 0.249 0.154
Ce2 0.001 0.249 0.959
Ce3 0.165 0.250 0.833
Ce4 0.347 0.031 0.098
Ce5 0.347 0.469 0.750
Ce6 0.414 0.250 0.457
Pt1 0.305 0.026 0.251
Pt2 0.305 0.474 0.554
```

Properties
The magnetization comes out at 15.28 μB/cell. The calculation puts the energy of formation at -0.499 eV per atom.